1.
RbTiAl2Ge | Alexandria via LeMat-Bulk | PBE | optimized geometry; space-group type = P4/mmm (123); DFT total energy = -10.770 eV per cell; ΔE_f = 2039 meV per atom
1.0
5.566 0.000 0.000
0.000 5.566 0.000
0.000 0.000 5.178
Rb Ti Al Ge
1 1 2 1
Direct
0.000 0.000 0.000
0.000 0.000 0.500
0.000 0.500 0.000
0.500 0.000 0.000
0.500 0.500 0.500

2.
Al2ReGe2 | Alexandria via LeMat-Bulk | PBE | optimized geometry; energy above the lowest structure with this stoichiometry = 0.0 meV per atom; space-group type = P4/mbm (127); DFT total energy = -55.999 eV per cell; ΔE_f = 234 meV per atom
1.0
6.540 0.000 0.000
0.000 6.540 0.000
0.000 0.000 3.757
Al Re Ge
4 2 4
Direct
0.172 0.328 0.000
0.328 0.828 0.000
0.672 0.172 0.000
0.828 0.672 0.000
0.000 0.000 0.500
0.500 0.500 0.500
0.137 0.637 0.500
0.363 0.137 0.500
0.637 0.863 0.500
0.863 0.363 0.500

3.
AlRe2Ge | Alexandria via LeMat-Bulk | PBE | optimized geometry; energy above the lowest structure with this stoichiometry = 0.0 meV per atom; space-group type = Fm-3m (225); DFT total energy = -130.445 eV per cell; ΔE_f = 161 meV per atom
1.0
6.136 0.000 0.000
0.000 6.136 0.000
0.000 0.000 6.136
Al Re Ge
4 8 4
Direct
0.000 0.000 0.000
0.000 0.500 0.500
0.500 0.000 0.500
0.500 0.500 0.000
0.250 0.250 0.250
0.250 0.250 0.750
0.250 0.750 0.250
0.250 0.750 0.750
0.750 0.250 0.250
0.750 0.250 0.750
0.750 0.750 0.250
0.750 0.750 0.750
0.000 0.000 0.500
0.000 0.500 0.000
0.500 0.000 0.000
0.500 0.500 0.500